Cs6PtI2O after structural relaxation. Source: Alexandria, functional PBE.

```
Cs6PtI2O
1.0
8.767 0.000 0.000
0.000 12.560 0.000
0.000 0.000 9.033
Cs Pt I O
12 2 4 2
direct
0.004 0.250 0.043 Cs
0.017 0.250 0.503 Cs
0.250 0.014 0.271 Cs
0.250 0.486 0.271 Cs
0.483 0.250 0.503 Cs
0.496 0.250 0.043 Cs
0.504 0.750 0.957 Cs
0.517 0.750 0.497 Cs
0.750 0.514 0.729 Cs
0.750 0.986 0.729 Cs
0.983 0.750 0.497 Cs
0.996 0.750 0.957 Cs
0.250 0.750 0.231 Pt
0.750 0.250 0.769 Pt
0.250 0.512 0.724 I
0.250 0.988 0.724 I
0.750 0.012 0.276 I
0.750 0.488 0.276 I
0.250 0.250 0.261 O
0.750 0.750 0.739 O
```

M_tot: 0.00 μB/cell
formation energy without anion corrections: -0.89 eV/atom
ρ: 4.21 g/cm3